5
Lattice="-0.6111 -4.4983 -2.1884 5.5409 -3.5305 -0.0930 0.2639 -4.9546 4.3077" Properties=species:S:1:pos:R:3 comment="Ac2ErIn2 (PBE, optimized geometry)" magmom_total_mub_per_cell=0.00 e_above_lowest_polymorph_mev_per_atom=12 sg=Immm rho_g_cm3=8.07 pbc="T T T"
Er 0.0000 0.0000 0.0000
In 3.7650 -6.1764 0.0390
In 1.4288 -6.8069 1.9873
Ac 3.5630 -9.5310 1.1881
Ac 1.6308 -3.4523 0.8382